*P*
TlMoOs2 | PBE-GGA | relaxed

size of the total moment = 0.000 μB/atom

a b c (Å): 2.8691 3.8830 6.0352
angles (deg): 90.00 90.00 90.00
Space group Pmmm (No. 47)
Symmetry-distinct sites (fractional):
Tl 0.0000 0.0000 0.0000 x1
Mo 0.0000 0.0000 0.5000 x1
Os 0.5000 0.5000 0.2842 x2

*Q*
TlMoOs2 | PBE-GGA | relaxed

size of the total moment = 0.000 μB/atom

a b c (Å): 9.3644 2.8948 5.0500
angles (deg): 90.00 100.59 90.00
Space group C2/m (No. 12)
Symmetry-distinct sites (fractional):
Tl 0.0000 0.0000 0.0000 x2
Mo 0.0000 0.5000 0.5000 x2
Os 0.2347 0.0000 0.7085 x4

*R*
TlMoOs2 | PBE-GGA | relaxed

size of the total moment = 0.000 μB/atom

a b c (Å): 2.8596 4.0118 5.8828
angles (deg): 90.00 90.01 90.00
Space group Pm (No. 6)
Symmetry-distinct sites (fractional):
Tl 0.0000 0.0000 0.0000 x1
Mo 0.4963 0.5000 0.3018 x1
Os 0.0043 0.0000 0.4993 x1
Os 0.5028 0.5000 0.7246 x1

Stability, lowest: *R*

*P*
TlMoOs2 | PBE-GGA | relaxed

size of the total moment = 0.000 μB/atom

a b c (Å): 2.9122 2.9122 7.9013
angles (deg): 90.00 90.00 90.00
Space group P4/mmm (No. 123)
Symmetry-distinct sites (fractional):
Tl 0.0000 0.0000 0.0000 x1
Mo 0.0000 0.0000 0.5000 x1
Os 0.5000 0.5000 0.2783 x2

*Q*
TlMoOs2 | PBE-GGA | relaxed

size of the total moment = 0.000 μB/atom

a b c (Å): 2.8315 2.8315 8.3372
angles (deg): 90.00 90.00 90.00
Space group P4mm (No. 99)
Symmetry-distinct sites (fractional):
Tl 0.0000 0.0000 0.0000 x1
Mo 0.5000 0.5000 0.2796 x1
Os 0.0000 0.0000 0.5212 x1
Os 0.5000 0.5000 0.7272 x1

*R*
TlMoOs2 | PBE-GGA | relaxed

size of the total moment = 0.000 μB/atom

a b c (Å): 9.4122 2.9084 4.9868
angles (deg): 90.00 100.75 90.00
Space group Cm (No. 8)
Symmetry-distinct sites (fractional):
Tl 0.0000 0.0000 0.0000 x2
Mo 0.2674 0.5000 0.3110 x2
Os 0.0113 0.5000 0.4960 x2
Os 0.2396 0.0000 0.7401 x2

Stability, lowest: *R*

*P*
TlMoOs | PBE-GGA | relaxed

size of the total moment = 0.001 μB/atom

a b c (Å): 3.0409 4.9434 14.4117
angles (deg): 90.00 90.00 90.00
Space group Fmm2 (No. 42)
Symmetry-distinct sites (fractional):
Tl 0.0000 0.0000 0.0000 x4
Mo 0.0000 0.0000 0.3199 x4
Os 0.0000 0.0000 0.6775 x4

*Q*
TlMoOs | PBE-GGA | relaxed

size of the total moment = 0.000 μB/atom

a b c (Å): 2.9754 3.8177 9.2380
angles (deg): 90.00 90.00 90.00
Space group Imm2 (No. 44)
Symmetry-distinct sites (fractional):
Tl 0.0000 0.0000 0.0000 x2
Mo 0.0000 0.0000 0.6865 x2
Os 0.0000 0.0000 0.3161 x2

Stability, lowest: *P*

*P*
TlMoOs | PBE-GGA | relaxed

size of the total moment = 0.000 μB/atom

a b c (Å): 2.9963 2.9963 12.0462
angles (deg): 90.00 90.00 90.00
Space group I4mm (No. 107)
Symmetry-distinct sites (fractional):
Tl 0.0000 0.0000 0.0000 x2
Mo 0.0000 0.0000 0.3103 x2
Os 0.0000 0.0000 0.6859 x2

*Q*
TlMoOs | PBE-GGA | relaxed

size of the total moment = 0.000 μB/atom

a b c (Å): 2.9399 2.9399 7.0956
angles (deg): 90.00 90.00 120.00
Space group P3m1 (No. 156)
Symmetry-distinct sites (fractional):
Tl 0.0000 0.0000 0.0000 x1
Mo 0.6667 0.3333 0.3607 x1
Os 0.3333 0.6667 0.6431 x1

*R*
TlMoOs | PBE-GGA | relaxed

size of the total moment = 0.000 μB/atom

a b c (Å): 4.5794 4.5794 2.8678
angles (deg): 90.00 90.00 120.00
Space group P-6m2 (No. 187)
Symmetry-distinct sites (fractional):
Tl 0.0000 0.0000 0.0000 x1
Mo 0.3333 0.6667 0.5000 x1
Os 0.6667 0.3333 0.0000 x1

*S*
TlMoOs | PBE-GGA | relaxed

size of the total moment = 0.000 μB/atom

a b c (Å): 6.2273 6.2273 6.2273
angles (deg): 90.00 90.00 90.00
Space group F-43m (No. 216)
Symmetry-distinct sites (fractional):
Tl 0.0000 0.0000 0.0000 x4
Mo 0.0000 0.0000 0.5000 x4
Os 0.2500 0.2500 0.7500 x4

Stability, lowest: *R*

*P*
TlMoOs3 | PBE-GGA | relaxed

size of the total moment = 0.000 μB/atom

a b c (Å): 4.7936 4.7936 4.7936
angles (deg): 90.00 90.00 90.00
Space group Pm-3m (No. 221)
Symmetry-distinct sites (fractional):
Tl 0.0000 0.0000 0.0000 x1
Mo 0.5000 0.5000 0.5000 x1
Os 0.0000 0.0000 0.5000 x3

*Q*
TlMoOs3 | PBE-GGA | relaxed

size of the total moment = 0.148 μB/atom

a b c (Å): 4.7458 4.7458 4.7458
angles (deg): 90.00 90.00 90.00
Space group Pm-3m (No. 221)
Symmetry-distinct sites (fractional):
Tl 0.0000 0.0000 0.0000 x1
Mo 0.5000 0.5000 0.5000 x1
Os 0.0000 0.5000 0.5000 x3

Stability, lowest: *P*

*P*
Tl2Mo2Os | PBE-GGA | relaxed

size of the total moment = 0.001 μB/atom

a b c (Å): 3.8049 3.8049 14.6045
angles (deg): 90.00 90.00 90.00
Space group I4/mmm (No. 139)
Symmetry-distinct sites (fractional):
Tl 0.0000 0.5000 0.2500 x4
Mo 0.0000 0.0000 0.0766 x4
Os 0.0000 0.0000 0.5000 x2

*Q*
Tl2Mo2Os | PBE-GGA | relaxed

size of the total moment = 0.000 μB/atom

a b c (Å): 6.5116 6.5116 4.7725
angles (deg): 90.00 90.00 90.00
Space group P4/mbm (No. 127)
Symmetry-distinct sites (fractional):
Tl 0.1806 0.3194 0.0000 x4
Mo 0.1351 0.6351 0.5000 x4
Os 0.0000 0.0000 0.5000 x2

Stability, lowest: *P*

*P*
Tl2MoOs2 | PBE-GGA | relaxed

size of the total moment = 0.630 μB/atom

a b c (Å): 3.5276 3.5276 16.9494
angles (deg): 90.00 90.00 90.00
Space group I4/mmm (No. 139)
Symmetry-distinct sites (fractional):
Tl 0.0000 0.0000 0.1047 x4
Mo 0.0000 0.0000 0.5000 x2
Os 0.0000 0.5000 0.2500 x4

*Q*
Tl2MoOs2 | PBE-GGA | relaxed

size of the total moment = 0.344 μB/atom

a b c (Å): 7.8546 7.8546 3.0079
angles (deg): 90.00 90.00 90.00
Space group P4/mbm (No. 127)
Symmetry-distinct sites (fractional):
Tl 0.1346 0.3654 0.0000 x4
Mo 0.0000 0.0000 0.0000 x2
Os 0.1674 0.6674 0.5000 x4

Stability, lowest: *Q*

*P*
Tl3MoOs | PBE-GGA | relaxed

size of the total moment = 1.025 μB/atom

a b c (Å): 5.3609 5.3609 5.3609
angles (deg): 90.00 90.00 90.00
Space group Pm-3m (No. 221)
Symmetry-distinct sites (fractional):
Tl 0.0000 0.0000 0.5000 x3
Mo 0.0000 0.0000 0.0000 x1
Os 0.5000 0.5000 0.5000 x1

*Q*
Tl3MoOs | PBE-GGA | relaxed

size of the total moment = 1.090 μB/atom

a b c (Å): 5.2933 5.2933 5.2933
angles (deg): 90.00 90.00 90.00
Space group Pm-3m (No. 221)
Symmetry-distinct sites (fractional):
Tl 0.0000 0.0000 0.5000 x3
Mo 0.5000 0.5000 0.5000 x1
Os 0.0000 0.0000 0.0000 x1

Stability, lowest: *P*

*P*
V4MoOs | PBE-GGA | relaxed

size of the total moment = 0.000 μB/atom

a b c (Å): 4.1576 4.1576 20.1806
angles (deg): 90.00 90.00 120.00
Space group R-3m (No. 166, hexagonal axes)
Symmetry-distinct sites (fractional):
V 0.0000 0.0000 0.1247 x6
V 0.0000 0.0000 0.3737 x6
Mo 0.0000 0.0000 0.5000 x3
Os 0.0000 0.0000 0.0000 x3

*Q*
V4MoOs | PBE-GGA | relaxed

size of the total moment = 0.000 μB/atom

a b c (Å): 6.9316 6.9316 6.9316
angles (deg): 90.00 90.00 90.00
Space group F-43m (No. 216)
Symmetry-distinct sites (fractional):
V 0.1249 0.1249 0.1249 x16
Mo 0.0000 0.0000 0.5000 x4
Os 0.2500 0.2500 0.7500 x4

Stability, lowest: *P*

*P*
Mo2OsW | PBE-GGA | relaxed

size of the total moment = 0.000 μB/atom

a b c (Å): 7.2173 7.2173 5.2141
angles (deg): 90.00 90.00 90.00
Space group I-42d (No. 122)
Symmetry-distinct sites (fractional):
Mo 0.2373 0.2500 0.1250 x8
Os 0.0000 0.0000 0.0000 x4
W 0.0000 0.0000 0.5000 x4

*Q*
Mo2OsW | PBE-GGA | relaxed

size of the total moment = 0.000 μB/atom

a b c (Å): 3.1435 4.4869 8.8638
angles (deg): 90.00 90.00 90.00
Space group Cmm2 (No. 35)
Symmetry-distinct sites (fractional):
Mo 0.0000 0.0000 0.0000 x2
Mo 0.0000 0.5000 0.2517 x2
Os 0.0000 0.5000 0.7520 x2
W 0.0000 0.0000 0.5050 x2

*R*
Mo2OsW | PBE-GGA | relaxed

size of the total moment = 0.000 μB/atom

a b c (Å): 2.7635 4.0078 5.6601
angles (deg): 90.00 90.00 90.00
Space group Pmm2 (No. 25)
Symmetry-distinct sites (fractional):
Mo 0.0000 0.0000 0.0000 x1
Mo 0.5000 0.5000 0.2535 x1
Os 0.0000 0.0000 0.4990 x1
W 0.5000 0.5000 0.7395 x1

Stability, lowest: *P*

*P*
Mo2OsW | PBE-GGA | relaxed

size of the total moment = 0.000 μB/atom

a b c (Å): 2.7494 4.4182 5.2221
angles (deg): 90.00 100.55 90.00
Space group Pm (No. 6)
Symmetry-distinct sites (fractional):
Mo 0.0000 0.0000 0.0000 x1
Mo 0.2282 0.5000 0.7541 x1
Os 0.6978 0.5000 0.2564 x1
W 0.4533 0.0000 0.5004 x1

*Q*
Mo2OsW | PBE-GGA | relaxed

size of the total moment = 0.000 μB/atom

a b c (Å): 5.4164 8.8927 2.7454
angles (deg): 90.00 109.40 90.00
Space group C2/m (No. 12)
Symmetry-distinct sites (fractional):
Mo 0.2500 0.2500 0.0000 x4
Os 0.0000 0.0000 0.5000 x2
W 0.0000 0.5000 0.5000 x2

Stability, lowest: *Q*